This record from the Alexandria database describes a relaxed structure of Y2CrAuF. The functional is GGA+U.

```
Y2CrAuF
1.0
5.622 0.000 0.000
0.000 5.622 0.000
0.000 0.000 3.816
Y Cr Au F
2 1 1 1
direct
0.000 0.500 0.000
0.500 0.000 0.000
0.000 0.000 0.000
0.500 0.500 0.500
0.000 0.000 0.500
```

Output
SG ... P4/mmm, No. 123
Total DFT energy (no corrections) ... -5.473 eV/atom